Material: CsMgCr2O8
Method: DFT, PBE with a Hubbard U
State: optimized geometry

Calculated values
E: -75.22 eV per cell
space group: No. 147
volume: 225.5 Å³ per cell
crystal system: trigonal

abc: 5.608 5.608 8.279
angles: 90.00 90.00 120.00
Last column: magnetic moment on the atom in μB.
Atoms (fractional coordinates):
O (0.667, 0.333, 0.088)  0.11
O (0.658, 0.830, 0.649)  0.16
O (0.172, 0.342, 0.649)  0.16
O (0.830, 0.172, 0.351)  0.16
O (0.170, 0.828, 0.649)  0.16
O (0.828, 0.658, 0.351)  0.16
O (0.333, 0.667, 0.912)  0.11
O (0.342, 0.170, 0.351)  0.16
Cs (0.000, 0.000, 0.000)  0.00
Mg (0.000, 0.000, 0.500)  0.00
Cr (0.667, 0.333, 0.286)  -0.17
Cr (0.333, 0.667, 0.714)  -0.17